# 1
Below is Al3InSn at its PBEsol-relaxed geometry, with properties calculated at the SCAN level.

a b c (Å): 5.1968 5.1968 5.1968
angles (deg): 90.00 90.00 90.00
Last column: nearest neighbours and their distance in Å.
Element x y z (fractional)
Al (0.0000, 0.0000, 0.5000)  2 Sn 2.60
Al (0.0000, 0.5000, 0.0000)  2 Sn 2.60
Al (0.5000, 0.0000, 0.0000)  2 Sn 2.60
In (0.5000, 0.5000, 0.5000)  12 Al 3.67
Sn (0.0000, 0.0000, 0.0000)  6 Al 2.60

M_tot, μB per formula unit: 0.00
Symmetry: Pm-3m, No. 221
Energy, eV per cell: -88.3
E_form, eV/atom: 0.850

***

# 2
Below is YCd2In at its PBEsol-relaxed geometry, with properties calculated at the SCAN level.

a b c (Å): 3.7729 3.7839 6.6549
angles (deg): 90.00 90.00 90.00
Last column: nearest neighbours and their distance in Å.
Element x y z (fractional)
Y (0.0000, 0.0000, 0.0000)  8 Cd 3.19, 2 In 3.33
Cd (0.5000, 0.5000, 0.2615)  4 In 3.11, 1 Cd 3.17, 4 Y 3.19
Cd (0.5000, 0.5000, 0.7385)  4 In 3.11, 1 Cd 3.17, 4 Y 3.19
In (0.0000, 0.0000, 0.5000)  8 Cd 3.11, 2 Y 3.33

M_tot, μB per formula unit: 0.37
Symmetry: Pmmm, No. 47
Energy, eV per cell: -123.1
E_form, eV/atom: -0.251

***

# 3
Below is Ni2RhW at its PBEsol-relaxed geometry, with properties calculated at the SCAN level.

a b c (Å): 4.4729 4.4729 4.5408
angles (deg): 100.05 100.05 34.47
Last column: nearest neighbours and their distance in Å.
Element x y z (fractional)
Ni (0.2486, 0.2486, 0.2558)  3 W 2.57-2.59, 6 Ni 2.58-2.68, 3 Rh 2.59-2.62
Ni (0.7514, 0.7514, 0.7442)  3 W 2.57-2.59, 6 Ni 2.58-2.68, 3 Rh 2.59-2.62
Rh (0.5000, 0.5000, 0.0000)  6 Ni 2.59-2.62, 4 W 2.63, 2 Rh 2.65
W (0.0000, 0.0000, 0.5000)  6 Ni 2.57-2.59, 4 Rh 2.63, 2 W 2.65

M_tot, μB per formula unit: 0.01
Symmetry: C2/m, No. 12
Energy, eV per cell: -135.5
E_form, eV/atom: 0.067

***

# 4
Below is YN at its PBEsol-relaxed geometry, with properties calculated at the SCAN level.

a b c (Å): 3.9881 3.9881 4.8642
angles (deg): 90.00 90.00 120.00
Last column: nearest neighbours and their distance in Å.
Element x y z (fractional)
Y (0.3333, 0.6667, 0.2500)  5 N 2.30-2.43
Y (0.6667, 0.3333, 0.7500)  5 N 2.30-2.43
N (0.3333, 0.6667, 0.7500)  5 Y 2.30-2.43
N (0.6667, 0.3333, 0.2500)  5 Y 2.30-2.43

M_tot, μB per formula unit: 0.00
Raw formation energy, eV per atom: -1.924
Symmetry: P6_3/mmc, No. 194
Energy, eV per cell: -82.0

***

# 5
Below is Ba2TcW at its PBEsol-relaxed geometry, with properties calculated at the SCAN level.

a b c (Å): 2.9533 5.5524 5.8804
angles (deg): 90.00 90.00 90.00
Last column: nearest neighbours and their distance in Å.
Element x y z (fractional)
Ba (0.0000, 0.0000, 0.2492)  4 Ba 2.93-2.95
Ba (0.0000, 0.0000, 0.7508)  4 Ba 2.93-2.95
Tc (0.5000, 0.5000, 0.0000)  2 W 2.94, 2 Tc 2.95
W (0.5000, 0.5000, 0.5000)  2 Tc 2.94, 2 W 2.95

M_tot, μB per formula unit: 0.00
Symmetry: Pmmm, No. 47
Energy, eV per cell: -177.0
E_form, eV/atom: 1.719

***

# 6
Below is Cu2Pt3 at its PBEsol-relaxed geometry, with properties calculated at the SCAN level.

a b c (Å): 4.6602 5.3839 6.0009
angles (deg): 76.95 75.16 72.83
Last column: nearest neighbours and their distance in Å.
Element x y z (fractional)
Cu (0.0000, 0.0000, 0.0000)  7 Pt 2.61-2.71, 5 Cu 2.63-2.74
Cu (0.0044, 0.4896, 0.0005)  4 Cu 2.61-2.74, 8 Pt 2.65-2.73
Cu (0.3956, 0.0996, 0.1945)  5 Cu 2.61-2.70, 7 Pt 2.62-2.72
Cu (0.8039, 0.1983, 0.3902)  4 Cu 2.63-2.70, 8 Pt 2.65-2.76
Pt (0.1968, 0.8012, 0.5946)  8 Pt 2.66-2.76, 4 Cu 2.66-2.73
Pt (0.2043, 0.2932, 0.5944)  7 Pt 2.66-2.74, 5 Cu 2.67-2.71
Pt (0.4016, 0.5934, 0.1961)  6 Pt 2.64-2.70, 6 Cu 2.65-2.72
Pt (0.6000, 0.8954, 0.8049)  5 Cu 2.64-2.76, 7 Pt 2.66-2.77
Pt (0.6049, 0.3893, 0.8073)  5 Cu 2.62-2.76, 7 Pt 2.64-2.82
Pt (0.8013, 0.7058, 0.3844)  5 Cu 2.61-2.72, 7 Pt 2.68-2.82

M_tot, μB per formula unit: 0.00
Symmetry: P1, No. 1
Energy, eV per cell: -483.0
E_form, eV/atom: -0.108